## ScTl2Tc (PBE)

Data for a geometry-optimized ScTl2Tc structure.

The structure in extended XYZ format:
```
4
Lattice="3.410 0.000 0.000 0.000 3.410 0.000 0.000 0.000 7.656" Properties=species:S:1:pos:R:3 pbc="T T T"
Sc 0.000 0.000 0.000
Tl 0.000 0.000 3.035
Tl 1.705 1.705 5.510
Tc 1.705 1.705 1.355
```

As for the energy above the most stable polymorph in this dataset: 0.000 eV per atom. The volume is 22.3 A^3/atom. For the total energy, the calculation gives -5.178 eV per atom. The symmetry is P4mm. Its crystal system is tetragonal. The value obtained for the formation energy is 0.180 eV per atom.